DFT (PBE-GGA) results for a geometry-optimized BaCoSe2 structure.

```
data_BaCoSe2
_symmetry_space_group_name_H-M 'I -4 m 2'
_symmetry_Int_Tables_number 119
_symmetry_space_group_name_Hall 'I -4 -2'
_cell_length_a 4.356
_cell_length_b 4.356
_cell_length_c 11.164
_cell_angle_alpha 90.00
_cell_angle_beta 90.00
_cell_angle_gamma 90.00
loop_
_atom_site_label
_atom_site_type_symbol
_atom_site_fract_x
_atom_site_fract_y
_atom_site_fract_z
Ba1 Ba 0.000 0.000 0.000
Co1 Co 0.000 0.500 0.750
Se1 Se 0.000 0.000 0.500
Se2 Se 0.000 0.500 0.250
```

Properties
DOS(E_F) = 14.8 states/eV per cell
energy = -4.1518 eV per atom
volume = 211.9 Å³ per cell
magnetization = 2.63 μB/f.u.
raw formation energy = -0.610 eV/f.u.